(1)
Material: UAl4Pt2
Method: DFT, PBE
State: optimized geometry

Summary:
spin magnetization: 0.3006 μB per atom
DFT total energy: -6.23 eV per atom
energy relative to the elements: -0.748 eV/atom

Cell and atoms, written as POSCAR:
```
UAl4Pt2
1.0
4.293 0.000 0.000
0.000 6.675 0.000
0.000 0.000 17.121
Pt Al U
8 16 4
direct
0.750 0.040 0.217
0.250 0.741 0.039
0.750 0.241 0.461
0.250 0.759 0.539
0.250 0.540 0.283
0.750 0.460 0.717
0.250 0.960 0.783
0.750 0.259 0.961
0.750 0.506 0.570
0.250 0.665 0.686
0.750 0.994 0.070
0.250 0.494 0.430
0.750 0.335 0.314
0.250 0.332 0.036
0.750 0.165 0.814
0.250 0.168 0.536
0.250 0.238 0.194
0.750 0.738 0.306
0.250 0.006 0.930
0.250 0.262 0.694
0.250 0.835 0.186
0.750 0.762 0.806
0.750 0.668 0.964
0.750 0.832 0.464
0.250 0.020 0.365
0.750 0.520 0.135
0.750 0.980 0.635
0.250 0.480 0.865
```

(2)
Material: U2Al8Pt
Method: DFT, PBE
State: optimized geometry

Summary:
spin magnetization: 0.3807 μB per atom
DFT total energy: -5.68 eV per atom
energy relative to the elements: -0.358 eV/atom

Cell and atoms, written as POSCAR:
```
U2Al8Pt
1.0
-1.619 3.948 -0.403
-1.071 -0.016 4.150
9.970 4.352 2.589
Al Pt U
8 1 2
direct
0.500 0.000 0.500
0.500 0.500 0.692
0.500 0.000 0.873
0.500 0.000 0.127
0.500 0.500 0.308
0.000 0.500 0.873
0.000 0.500 0.127
0.000 0.500 0.500
0.000 0.000 0.000
0.000 0.000 0.687
0.000 0.000 0.313
```

(3)
Material: U2AlPt9
Method: DFT, PBE
State: optimized geometry

Summary:
spin magnetization: 0.2566 μB per atom
DFT total energy: -7.44 eV per atom
energy relative to the elements: -0.716 eV/atom

Cell and atoms, written as POSCAR:
```
U2AlPt9
1.0
4.100 0.000 0.000
0.000 4.100 0.000
0.000 0.000 12.149
Pt U Al
9 2 1
direct
0.500 0.500 0.000
0.000 0.500 0.844
0.500 0.500 0.673
0.500 0.500 0.327
0.500 0.000 0.844
0.000 0.500 0.500
0.500 0.000 0.156
0.000 0.500 0.156
0.500 0.000 0.500
0.000 0.000 0.326
0.000 0.000 0.674
0.000 0.000 0.000
```